The following is a GGA-PBE calculation of Ba2CeNi2S6 after structural relaxation, from Alexandria.

Properties
- E_form (uncorrected): -1.210 eV/atom
- SG: C2/m, No. 12
- V: 286 Å³ per cell

a b c (Å): 6.9178 6.9178 8.3090
angles (deg): 115.36 115.36 55.28
Closest atoms and distances in Å follow each position.
Fractional coordinates of all 11 atoms:
Ba  0.2096  0.2096  0.2078  9 S 3.22-3.55
Ba  0.7904  0.7904  0.7922  9 S 3.22-3.55
Ce  0.0000  0.0000  0.5000  6 S 2.67-2.78
Ni  0.4415  0.4415  0.7231  3 S 2.11-2.13
Ni  0.5585  0.5585  0.2769  3 S 2.11-2.13
S  0.1780  0.7053  0.1890  1 Ni 2.11
S  0.2447  0.2447  0.6179  1 Ni 2.13
S  0.2947  0.8220  0.8110  1 Ni 2.11
S  0.7053  0.1780  0.1890  1 Ni 2.11
S  0.7553  0.7553  0.3821  1 Ni 2.13
S  0.8220  0.2947  0.8110  1 Ni 2.11